Entry from the Open Quantum Materials Database: a relaxed structure of BeHg2Mo (PBE-GGA).

Output
For the total energy, the calculation gives -11.8 eV/cell. The calculation puts the size of the total moment at 0.4698 μB per atom.

a b c (Å): 4.6274 4.6274 4.6274
angles (deg): 60.00 60.00 60.00
Fractional positions:
Be: 0.0000 0.0000 0.0000
Hg: 0.5000 0.5000 0.5000
Hg: 0.7500 0.7500 0.7500
Mo: 0.2500 0.2500 0.2500

***

Entry from the Open Quantum Materials Database: a relaxed structure of Gd2CdSn (PBE-GGA).

Output
For the total energy, the calculation gives -16.3 eV/cell. The calculation puts the size of the total moment at 0.0010 μB per atom.

a b c (Å): 5.0108 5.0108 4.2424
angles (deg): 90.00 90.00 90.00
Fractional positions:
Gd: 0.0000 0.5000 0.0000
Gd: 0.5000 0.0000 0.0000
Cd: 0.0000 0.0000 0.5000
Sn: 0.5000 0.5000 0.5000

***

Entry from the Open Quantum Materials Database: a relaxed structure of OsOF5 (PBE-GGA).

Output
For the total energy, the calculation gives -144.0 eV/cell. The calculation puts the size of the total moment at 0.1426 μB per atom. For the distance to the lowest polymorph of the same formula, the calculation gives 0.057 eV/f.u.

a b c (Å): 8.6408 4.6188 7.9180
angles (deg): 90.00 90.00 90.00
Fractional positions:
Os: 0.1287 0.0787 0.0000
Os: 0.3713 0.5787 0.5000
Os: 0.6287 0.4213 0.0000
Os: 0.8713 0.9213 0.5000
O: 0.2397 0.9292 0.8482
O: 0.2603 0.4292 0.3482
O: 0.7397 0.5708 0.8482
O: 0.7603 0.0708 0.3482
F: 0.0055 0.2437 0.1732
F: 0.0064 0.7318 0.3526
F: 0.0089 0.2322 0.5151
F: 0.2427 0.4226 0.0159
F: 0.2451 0.9274 0.1788
F: 0.2549 0.4274 0.6788
F: 0.2573 0.9226 0.5159
F: 0.4911 0.7322 0.0151
F: 0.4936 0.2318 0.8526
F: 0.4945 0.7437 0.6732
F: 0.5055 0.2563 0.1732
F: 0.5064 0.7682 0.3526
F: 0.5089 0.2678 0.5151
F: 0.7427 0.0774 0.0159
F: 0.7451 0.5726 0.1788
F: 0.7549 0.0726 0.6788
F: 0.7573 0.5774 0.5159
F: 0.9911 0.7678 0.0151
F: 0.9936 0.2682 0.8526
F: 0.9945 0.7563 0.6732

***

Entry from the Open Quantum Materials Database: a relaxed structure of LuBeHg2 (PBE-GGA).

Output
For the total energy, the calculation gives -8.5 eV/cell. The calculation puts the size of the total moment at 0.0002 μB per atom.

a b c (Å): 4.8256 4.8256 4.8256
angles (deg): 60.00 60.00 60.00
Fractional positions:
Lu: 0.0000 0.0000 0.0000
Be: 0.7500 0.7500 0.7500
Hg: 0.2500 0.2500 0.2500
Hg: 0.5000 0.5000 0.5000